Record 1
A plane-wave DFT calculation with PBE-GGA was carried out for crystalline Zn6Cu at its relaxed geometry.

Unit cell a=4.9524 b=4.9524 c=8.9567 alpha=90.00 beta=90.00 gamma=90.00
Last column: nearest neighbours and their distance in Å.
Sites, in units of the cell vectors:
1 Zn 0.0715 0.5715 0.1394  8 Zn 2.50-2.71
2 Zn 0.0715 0.9285 0.8606  8 Zn 2.50-2.71
3 Zn 0.2500 0.2500 0.3628  5 Zn 2.46-2.71
4 Zn 0.2500 0.2500 0.6372  5 Zn 2.46-2.71
5 Zn 0.4285 0.5715 0.8606  8 Zn 2.50-2.71
6 Zn 0.4285 0.9285 0.1394  8 Zn 2.50-2.71
7 Zn 0.5715 0.0715 0.8606  8 Zn 2.50-2.71
8 Zn 0.5715 0.4285 0.1394  8 Zn 2.50-2.71
9 Zn 0.7500 0.7500 0.3628  5 Zn 2.46-2.71
10 Zn 0.7500 0.7500 0.6372  5 Zn 2.46-2.71
11 Zn 0.9285 0.0715 0.1394  8 Zn 2.50-2.71
12 Zn 0.9285 0.4285 0.8606  8 Zn 2.50-2.71
13 Cu 0.2500 0.7500 0.5000  8 Zn 2.76
14 Cu 0.7500 0.2500 0.5000  8 Zn 2.76

**Symmetry**: P4/nbm, No. 125
**Formation energy**: 0.128 eV per atom
**M_tot**: 0.000 μB/cell


Record 2
A plane-wave DFT calculation with PBE-GGA was carried out for crystalline Zn3Cu4 at its relaxed geometry.

Unit cell a=4.8440 b=4.8440 c=4.8440 alpha=90.00 beta=90.00 gamma=90.00
Last column: nearest neighbours and their distance in Å.
Sites, in units of the cell vectors:
1 Zn 0.0000 0.0000 0.5000  6 Cu 2.42
2 Zn 0.0000 0.5000 0.0000  6 Cu 2.42
3 Zn 0.5000 0.0000 0.0000  6 Cu 2.42
4 Cu 0.0000 0.0000 0.0000  6 Zn 2.42
5 Cu 0.0000 0.5000 0.5000  4 Zn 2.42
6 Cu 0.5000 0.0000 0.5000  4 Zn 2.42
7 Cu 0.5000 0.5000 0.0000  4 Zn 2.42

**Symmetry**: Pm-3m, No. 221
**Formation energy**: 0.437 eV per atom
**M_tot**: 0.000 μB/cell


Record 3
A plane-wave DFT calculation with PBE-GGA was carried out for crystalline Zn8Cu5 at its relaxed geometry.

Unit cell a=7.6878 b=7.6878 c=7.6878 alpha=109.47 beta=109.47 gamma=109.47
Last column: nearest neighbours and their distance in Å.
Sites, in units of the cell vectors:
1 Zn 0.0000 0.0000 0.2197  6 Cu 2.58-2.62, 6 Zn 2.65-2.76
2 Zn 0.0000 0.2197 0.0000  6 Cu 2.58-2.62, 6 Zn 2.65-2.76
3 Zn 0.0000 0.3474 0.7200  6 Cu 2.54-2.83, 5 Zn 2.63-2.65
4 Zn 0.0000 0.7200 0.3474  6 Cu 2.54-2.83, 5 Zn 2.63-2.65
5 Zn 0.2197 0.0000 0.0000  6 Cu 2.58-2.62, 6 Zn 2.65-2.76
6 Zn 0.2800 0.2800 0.6274  6 Cu 2.54-2.83, 5 Zn 2.63-2.65
7 Zn 0.2800 0.6274 0.2800  6 Cu 2.54-2.83, 5 Zn 2.63-2.65
8 Zn 0.3474 0.0000 0.7200  6 Cu 2.54-2.83, 5 Zn 2.63-2.65
9 Zn 0.3474 0.7200 0.0000  6 Cu 2.54-2.83, 5 Zn 2.63-2.65
10 Zn 0.3726 0.6526 0.6526  6 Cu 2.54-2.83, 5 Zn 2.63-2.65
11 Zn 0.6274 0.2800 0.2800  6 Cu 2.54-2.83, 5 Zn 2.63-2.65
12 Zn 0.6526 0.3726 0.6526  6 Cu 2.54-2.83, 5 Zn 2.63-2.65
13 Zn 0.6526 0.6526 0.3726  6 Cu 2.54-2.83, 5 Zn 2.63-2.65
14 Zn 0.7200 0.0000 0.3474  6 Cu 2.54-2.83, 5 Zn 2.63-2.65
15 Zn 0.7200 0.3474 0.0000  6 Cu 2.54-2.83, 5 Zn 2.63-2.65
16 Zn 0.7803 0.7803 0.7803  6 Cu 2.58-2.62, 6 Zn 2.65-2.76
17 Cu 0.0000 0.0000 0.6555  9 Zn 2.55-2.62, 3 Cu 2.71
18 Cu 0.0000 0.3558 0.3558  10 Zn 2.54-2.83, 3 Cu 2.56-2.71
19 Cu 0.0000 0.6442 0.6442  10 Zn 2.54-2.83, 3 Cu 2.56-2.71
20 Cu 0.0000 0.6555 0.0000  9 Zn 2.55-2.62, 3 Cu 2.71
21 Cu 0.3445 0.3445 0.3445  9 Zn 2.55-2.62, 3 Cu 2.71
22 Cu 0.3558 0.0000 0.3558  10 Zn 2.54-2.83, 3 Cu 2.56-2.71
23 Cu 0.3558 0.3558 0.0000  10 Zn 2.54-2.83, 3 Cu 2.56-2.71
24 Cu 0.6442 0.0000 0.6442  10 Zn 2.54-2.83, 3 Cu 2.56-2.71
25 Cu 0.6442 0.6442 0.0000  10 Zn 2.54-2.83, 3 Cu 2.56-2.71
26 Cu 0.6555 0.0000 0.0000  9 Zn 2.55-2.62, 3 Cu 2.71

**Symmetry**: I-43m, No. 217
**Formation energy**: -0.103 eV per atom
**M_tot**: 0.000 μB/cell


Record 4
A plane-wave DFT calculation with PBE-GGA was carried out for crystalline ZnCu5 at its relaxed geometry.

Unit cell a=4.4945 b=4.4945 c=4.2040 alpha=90.00 beta=90.00 gamma=120.00
Last column: nearest neighbours and their distance in Å.
Sites, in units of the cell vectors:
1 Zn 0.0000 0.0000 0.0000  12 Cu 2.59
2 Cu 0.0000 0.6634 0.5000  10 Cu 2.58-2.62, 2 Zn 2.59
3 Cu 0.3333 0.6667 0.0000  9 Cu 2.58-2.59, 3 Zn 2.59
4 Cu 0.3366 0.3366 0.5000  10 Cu 2.58-2.62, 2 Zn 2.59
5 Cu 0.6634 0.0000 0.5000  10 Cu 2.58-2.62, 2 Zn 2.59
6 Cu 0.6667 0.3333 0.0000  9 Cu 2.58-2.59, 3 Zn 2.59

**Symmetry**: P-62m, No. 189
**Formation energy**: -0.038 eV per atom
**M_tot**: 0.000 μB/cell


Record 5
A plane-wave DFT calculation with PBE-GGA was carried out for crystalline ZnCu3 at its relaxed geometry.

Unit cell a=2.7074 b=3.4709 c=5.3051 alpha=90.00 beta=90.00 gamma=90.00
Last column: nearest neighbours and their distance in Å.
Sites, in units of the cell vectors:
1 Zn 0.0000 0.0000 0.0000  10 Cu 2.58-2.65, 2 Zn 2.71
2 Cu 0.0000 0.0000 0.5000  10 Cu 2.56-2.71, 2 Zn 2.65
3 Cu 0.5000 0.5000 0.2549  8 Cu 2.56-2.71, 4 Zn 2.58
4 Cu 0.5000 0.5000 0.7451  8 Cu 2.56-2.71, 4 Zn 2.58

**Symmetry**: Pmmm, No. 47
**Formation energy**: -0.056 eV per atom
**M_tot**: 0.000 μB/cell


Record 6
A plane-wave DFT calculation with PBE-GGA was carried out for crystalline ZnCu2 at its relaxed geometry.

Unit cell a=3.3184 b=3.3184 c=4.7040 alpha=90.00 beta=90.00 gamma=90.00
Last column: nearest neighbours and their distance in Å.
Sites, in units of the cell vectors:
1 Zn 0.0000 0.0000 0.0000  6 Cu 2.35
2 Cu 0.0000 0.0000 0.5000  2 Zn 2.35
3 Cu 0.5000 0.5000 0.0000  4 Zn 2.35

**Symmetry**: P4/mmm, No. 123
**Formation energy**: 0.638 eV per atom
**M_tot**: 0.000 μB/cell


Record 7
A plane-wave DFT calculation with PBE-GGA was carried out for crystalline Zn4Cu3 at its relaxed geometry.

Unit cell a=4.8939 b=4.8939 c=4.8939 alpha=90.00 beta=90.00 gamma=90.00
Last column: nearest neighbours and their distance in Å.
Sites, in units of the cell vectors:
1 Zn 0.0000 0.0000 0.0000  6 Cu 2.45
2 Zn 0.0000 0.5000 0.5000  4 Cu 2.45
3 Zn 0.5000 0.0000 0.5000  4 Cu 2.45
4 Zn 0.5000 0.5000 0.0000  4 Cu 2.45
5 Cu 0.0000 0.0000 0.5000  6 Zn 2.45
6 Cu 0.0000 0.5000 0.0000  6 Zn 2.45
7 Cu 0.5000 0.0000 0.0000  6 Zn 2.45

**Symmetry**: Pm-3m, No. 221
**Formation energy**: 0.273 eV per atom
**M_tot**: 0.000 μB/cell


Record 8
A plane-wave DFT calculation with PBE-GGA was carried out for crystalline ZnCu3 at its relaxed geometry.

Unit cell a=2.6582 b=4.2263 c=4.4270 alpha=90.00 beta=90.00 gamma=90.00
Last column: nearest neighbours and their distance in Å.
Sites, in units of the cell vectors:
1 Zn 0.0000 0.0000 0.0000  10 Cu 2.58-2.62, 2 Zn 2.66
2 Cu 0.0000 0.5000 0.6512  10 Cu 2.56-2.66, 2 Zn 2.62
3 Cu 0.5000 0.0000 0.5005  4 Zn 2.58, 8 Cu 2.58-2.66
4 Cu 0.5000 0.5000 0.1560  8 Cu 2.56-2.66, 4 Zn 2.59

**Symmetry**: Pmm2, No. 25
**Formation energy**: -0.048 eV per atom
**M_tot**: 0.000 μB/cell


Record 9
A plane-wave DFT calculation with PBE-GGA was carried out for crystalline ZnCu6 at its relaxed geometry.

Unit cell a=5.6066 b=5.6066 c=5.6066 alpha=109.47 beta=109.47 gamma=109.47
Last column: nearest neighbours and their distance in Å.
Sites, in units of the cell vectors:
1 Zn 0.0000 0.0000 0.0000  24 Cu 3.62
2 Cu 0.2500 0.5000 0.7500  4 Cu 2.29
3 Cu 0.2500 0.7500 0.5000  4 Cu 2.29
4 Cu 0.5000 0.2500 0.7500  4 Cu 2.29
5 Cu 0.5000 0.7500 0.2500  4 Cu 2.29
6 Cu 0.7500 0.2500 0.5000  4 Cu 2.29
7 Cu 0.7500 0.5000 0.2500  4 Cu 2.29

**Symmetry**: Im-3m, No. 229
**Formation energy**: 0.886 eV per atom
**M_tot**: 0.000 μB/cell


Record 10
A plane-wave DFT calculation with PBE-GGA was carried out for crystalline ZnCu2 at its relaxed geometry.

Unit cell a=2.5740 b=2.5740 c=20.9414 alpha=90.00 beta=90.00 gamma=120.00
Last column: nearest neighbours and their distance in Å.
Sites, in units of the cell vectors:
1 Zn 0.0000 0.0000 0.0000  6 Zn 2.57, 6 Cu 2.62
2 Zn 0.3333 0.6667 0.3379  4 Cu 2.51-2.65, 6 Zn 2.57
3 Zn 0.6667 0.3333 0.6621  4 Cu 2.51-2.65, 6 Zn 2.57
4 Cu 0.0000 0.0000 0.4426  7 Cu 2.41-2.57, 3 Zn 2.65
5 Cu 0.0000 0.0000 0.5574  7 Cu 2.41-2.57, 3 Zn 2.65
6 Cu 0.3333 0.6667 0.1032  7 Cu 2.41-2.57, 3 Zn 2.62
7 Cu 0.3333 0.6667 0.2180  7 Cu 2.41-2.57, 1 Zn 2.51
8 Cu 0.6667 0.3333 0.7820  7 Cu 2.41-2.57, 1 Zn 2.51
9 Cu 0.6667 0.3333 0.8968  7 Cu 2.41-2.57, 3 Zn 2.62

**Symmetry**: P-3m1, No. 164
**Formation energy**: 0.143 eV per atom
**M_tot**: 0.000 μB/cell


Record 11
A plane-wave DFT calculation with PBE-GGA was carried out for crystalline Zn5Cu24 at its relaxed geometry.

Unit cell a=7.7894 b=7.7894 c=7.7894 alpha=109.47 beta=109.47 gamma=109.47
Last column: nearest neighbours and their distance in Å.
Sites, in units of the cell vectors:
1 Zn 0.0000 0.0000 0.0000  4 Zn 2.78, 12 Cu 2.83
2 Zn 0.0000 0.0000 0.3569  9 Cu 2.52-2.74, 1 Zn 2.78
3 Zn 0.0000 0.3569 0.0000  9 Cu 2.52-2.74, 1 Zn 2.78
4 Zn 0.3569 0.0000 0.0000  9 Cu 2.52-2.74, 1 Zn 2.78
5 Zn 0.6431 0.6431 0.6431  9 Cu 2.52-2.74, 1 Zn 2.78
6 Cu 0.0000 0.3152 0.5892  7 Cu 2.42-2.61, 1 Zn 2.52
7 Cu 0.0000 0.5892 0.3152  7 Cu 2.42-2.61, 1 Zn 2.52
8 Cu 0.0000 0.6207 0.8088  8 Cu 2.39-2.59
9 Cu 0.0000 0.8088 0.6207  8 Cu 2.39-2.59
10 Cu 0.1881 0.3793 0.3793  8 Cu 2.39-2.59
11 Cu 0.1912 0.1912 0.8119  8 Cu 2.39-2.59
12 Cu 0.1912 0.8119 0.1912  8 Cu 2.39-2.59
13 Cu 0.2741 0.6848 0.6848  7 Cu 2.42-2.61, 1 Zn 2.52
14 Cu 0.3152 0.0000 0.5892  7 Cu 2.42-2.61, 1 Zn 2.52
15 Cu 0.3152 0.5892 0.0000  7 Cu 2.42-2.61, 1 Zn 2.52
16 Cu 0.3793 0.1881 0.3793  8 Cu 2.39-2.59
17 Cu 0.3793 0.3793 0.1881  8 Cu 2.39-2.59
18 Cu 0.4108 0.4108 0.7259  7 Cu 2.42-2.61, 1 Zn 2.52
19 Cu 0.4108 0.7259 0.4108  7 Cu 2.42-2.61, 1 Zn 2.52
20 Cu 0.5892 0.0000 0.3152  7 Cu 2.42-2.61, 1 Zn 2.52
21 Cu 0.5892 0.3152 0.0000  7 Cu 2.42-2.61, 1 Zn 2.52
22 Cu 0.6207 0.0000 0.8088  8 Cu 2.39-2.59
23 Cu 0.6207 0.8088 0.0000  8 Cu 2.39-2.59
24 Cu 0.6848 0.2741 0.6848  7 Cu 2.42-2.61, 1 Zn 2.52
25 Cu 0.6848 0.6848 0.2741  7 Cu 2.42-2.61, 1 Zn 2.52
26 Cu 0.7259 0.4108 0.4108  7 Cu 2.42-2.61, 1 Zn 2.52
27 Cu 0.8088 0.0000 0.6207  8 Cu 2.39-2.59
28 Cu 0.8088 0.6207 0.0000  8 Cu 2.39-2.59
29 Cu 0.8119 0.1912 0.1912  8 Cu 2.39-2.59

**Symmetry**: I-43m, No. 217
**Formation energy**: 0.033 eV per atom
**M_tot**: 0.000 μB/cell


Record 12
A plane-wave DFT calculation with PBE-GGA was carried out for crystalline Zn3Cu13 at its relaxed geometry.

Unit cell a=5.1769 b=5.1769 c=8.4853 alpha=90.00 beta=90.00 gamma=120.00
Last column: nearest neighbours and their distance in Å.
Sites, in units of the cell vectors:
1 Zn 0.0000 0.0000 0.0000  12 Cu 2.59-2.61
2 Zn 0.6667 0.3333 0.2512  12 Cu 2.59-2.61
3 Zn 0.6667 0.3333 0.7488  12 Cu 2.59-2.61
4 Cu 0.0034 0.5017 0.0000  8 Cu 2.56-2.61, 4 Zn 2.59-2.61
5 Cu 0.1674 0.3348 0.2518  9 Cu 2.58-2.60, 3 Zn 2.59-2.61
6 Cu 0.1674 0.3348 0.7482  9 Cu 2.58-2.60, 3 Zn 2.59-2.61
7 Cu 0.1674 0.8326 0.2518  9 Cu 2.58-2.60, 3 Zn 2.59-2.61
8 Cu 0.1674 0.8326 0.7482  9 Cu 2.58-2.60, 3 Zn 2.59-2.61
9 Cu 0.3303 0.1652 0.5000  10 Cu 2.57-2.61, 2 Zn 2.59
10 Cu 0.3333 0.6667 0.5000  12 Cu 2.58-2.59
11 Cu 0.4983 0.5017 0.0000  8 Cu 2.56-2.61, 4 Zn 2.59-2.61
12 Cu 0.4983 0.9966 0.0000  8 Cu 2.56-2.61, 4 Zn 2.59-2.61
13 Cu 0.6652 0.8326 0.2518  9 Cu 2.58-2.60, 3 Zn 2.59-2.61
14 Cu 0.6652 0.8326 0.7482  9 Cu 2.58-2.60, 3 Zn 2.59-2.61
15 Cu 0.8348 0.1652 0.5000  10 Cu 2.57-2.61, 2 Zn 2.59
16 Cu 0.8348 0.6697 0.5000  10 Cu 2.57-2.61, 2 Zn 2.59

**Symmetry**: P-6m2, No. 187
**Formation energy**: -0.053 eV per atom
**M_tot**: 0.000 μB/cell


Repeat the tenth record exactly.
A plane-wave DFT calculation with PBE-GGA was carried out for crystalline ZnCu2 at its relaxed geometry.

Unit cell a=2.5740 b=2.5740 c=20.9414 alpha=90.00 beta=90.00 gamma=120.00
Last column: nearest neighbours and their distance in Å.
Sites, in units of the cell vectors:
1 Zn 0.0000 0.0000 0.0000  6 Zn 2.57, 6 Cu 2.62
2 Zn 0.3333 0.6667 0.3379  4 Cu 2.51-2.65, 6 Zn 2.57
3 Zn 0.6667 0.3333 0.6621  4 Cu 2.51-2.65, 6 Zn 2.57
4 Cu 0.0000 0.0000 0.4426  7 Cu 2.41-2.57, 3 Zn 2.65
5 Cu 0.0000 0.0000 0.5574  7 Cu 2.41-2.57, 3 Zn 2.65
6 Cu 0.3333 0.6667 0.1032  7 Cu 2.41-2.57, 3 Zn 2.62
7 Cu 0.3333 0.6667 0.2180  7 Cu 2.41-2.57, 1 Zn 2.51
8 Cu 0.6667 0.3333 0.7820  7 Cu 2.41-2.57, 1 Zn 2.51
9 Cu 0.6667 0.3333 0.8968  7 Cu 2.41-2.57, 3 Zn 2.62

**Symmetry**: P-3m1, No. 164
**Formation energy**: 0.143 eV per atom
**M_tot**: 0.000 μB/cell